[1]
# K3RbPt, relaxed, DFT GGA-PBEsol
# Total DFT energy (no corrections) ... -10.7 eV/cell
# ΔH_f (0 K) ... 0.1327 eV/atom
data_K3RbPt
_space_group_name_H-M_alt 'P 1'
_space_group_IT_number 1
_cell_length_a 6.2969
_cell_length_b 6.2969
_cell_length_c 6.2969
_cell_angle_alpha 90.00
_cell_angle_beta 90.00
_cell_angle_gamma 90.00
loop_
_space_group_symop_operation_xyz
'x,y,z'
loop_
_atom_site_label
_atom_site_type_symbol
_atom_site_fract_x
_atom_site_fract_y
_atom_site_fract_z
_atom_site_occupancy
K1 K 0.0000 0.0000 0.5000 1
K2 K 0.0000 0.5000 0.0000 1
K3 K 0.5000 0.0000 0.0000 1
Rb1 Rb 0.5000 0.5000 0.5000 1
Pt1 Pt 0.0000 0.0000 0.0000 1

[2]
# KRbTe2Pt, relaxed, DFT GGA-PBEsol
# Total DFT energy (no corrections) ... -11.3 eV/cell
# Raw formation energy ... 93 kJ per mole of atoms
data_KRbTe2Pt
_space_group_name_H-M_alt 'P 1'
_space_group_IT_number 1
_cell_length_a 5.8768
_cell_length_b 5.8768
_cell_length_c 5.5286
_cell_angle_alpha 90.00
_cell_angle_beta 90.00
_cell_angle_gamma 90.00
loop_
_space_group_symop_operation_xyz
'x,y,z'
loop_
_atom_site_label
_atom_site_type_symbol
_atom_site_fract_x
_atom_site_fract_y
_atom_site_fract_z
_atom_site_occupancy
K1 K 0.0000 0.0000 0.0000 1
Rb1 Rb 0.0000 0.0000 0.5000 1
Te1 Te 0.0000 0.5000 0.0000 1
Te2 Te 0.5000 0.0000 0.0000 1
Pt1 Pt 0.5000 0.5000 0.5000 1

[3]
# KRe2Pt, relaxed, DFT GGA-PBEsol
# Total DFT energy (no corrections) ... -31.2 eV/cell
# Excess energy over the best structure of this formula in the dataset ... 253 meV/atom
# ΔH_f (0 K) ... 0.8824 eV/atom
data_KRe2Pt
_space_group_name_H-M_alt 'P 1'
_space_group_IT_number 1
_cell_length_a 2.6504
_cell_length_b 2.6504
_cell_length_c 10.0206
_cell_angle_alpha 90.00
_cell_angle_beta 90.00
_cell_angle_gamma 90.00
loop_
_space_group_symop_operation_xyz
'x,y,z'
loop_
_atom_site_label
_atom_site_type_symbol
_atom_site_fract_x
_atom_site_fract_y
_atom_site_fract_z
_atom_site_occupancy
K1 K 0.0000 0.0000 0.0000 1
Re1 Re 0.5000 0.5000 0.2939 1
Re2 Re 0.5000 0.5000 0.7061 1
Pt1 Pt 0.0000 0.0000 0.5000 1

[4]
# KRe2Pt, relaxed, DFT GGA-PBEsol
# Total DFT energy (no corrections) ... -30.1 eV/cell
# Excess energy over the best structure of this formula in the dataset ... 546 meV/atom
# ΔH_f (0 K) ... 1.1748 eV/atom
data_KRe2Pt
_space_group_name_H-M_alt 'P 1'
_space_group_IT_number 1
_cell_length_a 5.7322
_cell_length_b 5.7322
_cell_length_c 2.6089
_cell_angle_alpha 98.80
_cell_angle_beta 98.80
_cell_angle_gamma 124.06
loop_
_space_group_symop_operation_xyz
'x,y,z'
loop_
_atom_site_label
_atom_site_type_symbol
_atom_site_fract_x
_atom_site_fract_y
_atom_site_fract_z
_atom_site_occupancy
K1 K 0.0000 0.0000 0.0000 1
Re1 Re 0.0000 0.5000 0.5000 1
Re2 Re 0.5000 0.0000 0.5000 1
Pt1 Pt 0.5000 0.5000 0.0000 1

[5]
# KRePt2, relaxed, DFT GGA-PBEsol
# Total DFT energy (no corrections) ... -24.2 eV/cell
# Excess energy over the best structure of this formula in the dataset ... 603 meV/atom
# ΔH_f (0 K) ... 1.0540 eV/atom
data_KRePt2
_space_group_name_H-M_alt 'P 1'
_space_group_IT_number 1
_cell_length_a 4.5872
_cell_length_b 4.5872
_cell_length_c 4.5872
_cell_angle_alpha 60.00
_cell_angle_beta 60.00
_cell_angle_gamma 60.00
loop_
_space_group_symop_operation_xyz
'x,y,z'
loop_
_atom_site_label
_atom_site_type_symbol
_atom_site_fract_x
_atom_site_fract_y
_atom_site_fract_z
_atom_site_occupancy
K1 K 0.0000 0.0000 0.0000 1
Re1 Re 0.5000 0.5000 0.5000 1
Pt1 Pt 0.2500 0.2500 0.2500 1
Pt2 Pt 0.7500 0.7500 0.7500 1

[6]
# KRe2Pt, relaxed, DFT GGA-PBEsol
# Total DFT energy (no corrections) ... -32.2 eV/cell
# Excess energy over the best structure of this formula in the dataset ... 0 meV/atom
# ΔH_f (0 K) ... 0.6290 eV/atom
data_KRe2Pt
_space_group_name_H-M_alt 'P 1'
_space_group_IT_number 1
_cell_length_a 2.6783
_cell_length_b 3.8570
_cell_length_c 7.8148
_cell_angle_alpha 90.00
_cell_angle_beta 90.00
_cell_angle_gamma 90.00
loop_
_space_group_symop_operation_xyz
'x,y,z'
loop_
_atom_site_label
_atom_site_type_symbol
_atom_site_fract_x
_atom_site_fract_y
_atom_site_fract_z
_atom_site_occupancy
K1 K 0.0000 0.0000 0.0000 1
Re1 Re 0.0000 0.0000 0.4955 1
Re2 Re 0.5000 0.5000 0.6457 1
Pt1 Pt 0.5000 0.5000 0.3093 1

[7]
# KRePt2, relaxed, DFT GGA-PBEsol
# Total DFT energy (no corrections) ... -26.6 eV/cell
# Excess energy over the best structure of this formula in the dataset ... 0 meV/atom
# ΔH_f (0 K) ... 0.4513 eV/atom
data_KRePt2
_space_group_name_H-M_alt 'P 1'
_space_group_IT_number 1
_cell_length_a 10.3877
_cell_length_b 10.3877
_cell_length_c 10.3877
_cell_angle_alpha 15.34
_cell_angle_beta 15.34
_cell_angle_gamma 15.34
loop_
_space_group_symop_operation_xyz
'x,y,z'
loop_
_atom_site_label
_atom_site_type_symbol
_atom_site_fract_x
_atom_site_fract_y
_atom_site_fract_z
_atom_site_occupancy
K1 K 0.0000 0.0000 0.0000 1
Re1 Re 0.2338 0.2338 0.2338 1
Pt1 Pt 0.4978 0.4978 0.4978 1
Pt2 Pt 0.7548 0.7548 0.7548 1

[8]
# KPt2Rh, relaxed, DFT GGA-PBEsol
# Total DFT energy (no corrections) ... -21.6 eV/cell
# ΔH_f (0 K) ... 0.4110 eV/atom
data_KPt2Rh
_space_group_name_H-M_alt 'P 1'
_space_group_IT_number 1
_cell_length_a 5.9374
_cell_length_b 5.9374
_cell_length_c 5.9374
_cell_angle_alpha 153.80
_cell_angle_beta 130.19
_cell_angle_gamma 57.15
loop_
_space_group_symop_operation_xyz
'x,y,z'
loop_
_atom_site_label
_atom_site_type_symbol
_atom_site_fract_x
_atom_site_fract_y
_atom_site_fract_z
_atom_site_occupancy
K1 K 0.0000 0.0000 0.0000 1
Pt1 Pt 0.2808 0.7808 0.5000 1
Pt2 Pt 0.5053 0.5053 0.0000 1
Rh1 Rh 0.7208 0.2208 0.5000 1

[9]
# KPt2Rh, relaxed, DFT GGA-PBEsol
# Total DFT energy (no corrections) ... -20.1 eV/cell
# ΔH_f (0 K) ... 0.7780 eV/atom
data_KPt2Rh
_space_group_name_H-M_alt 'P 1'
_space_group_IT_number 1
_cell_length_a 4.5744
_cell_length_b 4.5744
_cell_length_c 4.5744
_cell_angle_alpha 60.00
_cell_angle_beta 60.00
_cell_angle_gamma 60.00
loop_
_space_group_symop_operation_xyz
'x,y,z'
loop_
_atom_site_label
_atom_site_type_symbol
_atom_site_fract_x
_atom_site_fract_y
_atom_site_fract_z
_atom_site_occupancy
K1 K 0.0000 0.0000 0.0000 1
Pt1 Pt 0.5000 0.5000 0.5000 1
Pt2 Pt 0.7500 0.7500 0.7500 1
Rh1 Rh 0.2500 0.2500 0.2500 1

[10]
# KPt2Rh, relaxed, DFT GGA-PBEsol
# Total DFT energy (no corrections) ... -20.9 eV/cell
# ΔH_f (0 K) ... 0.5747 eV/atom
data_KPt2Rh
_space_group_name_H-M_alt 'P 1'
_space_group_IT_number 1
_cell_length_a 2.6980
_cell_length_b 4.8961
_cell_length_c 5.0539
_cell_angle_alpha 90.00
_cell_angle_beta 90.00
_cell_angle_gamma 90.00
loop_
_space_group_symop_operation_xyz
'x,y,z'
loop_
_atom_site_label
_atom_site_type_symbol
_atom_site_fract_x
_atom_site_fract_y
_atom_site_fract_z
_atom_site_occupancy
K1 K 0.0000 0.0000 0.0000 1
Pt1 Pt 0.0000 0.5000 0.5000 1
Pt2 Pt 0.5000 0.0000 0.5000 1
Rh1 Rh 0.5000 0.5000 0.0000 1

[11]
# KPtRh2, relaxed, DFT GGA-PBEsol
# Total DFT energy (no corrections) ... -22.7 eV/cell
# Excess energy over the best structure of this formula in the dataset ... 0 meV/atom
# ΔH_f (0 K) ... 0.4073 eV/atom
data_KPtRh2
_space_group_name_H-M_alt 'P 1'
_space_group_IT_number 1
_cell_length_a 2.7279
_cell_length_b 3.4893
_cell_length_c 7.8349
_cell_angle_alpha 90.00
_cell_angle_beta 90.00
_cell_angle_gamma 90.00
loop_
_space_group_symop_operation_xyz
'x,y,z'
loop_
_atom_site_label
_atom_site_type_symbol
_atom_site_fract_x
_atom_site_fract_y
_atom_site_fract_z
_atom_site_occupancy
K1 K 0.0000 0.0000 0.0000 1
Pt1 Pt 0.5000 0.5000 0.3128 1
Rh1 Rh 0.0000 0.0000 0.5061 1
Rh2 Rh 0.5000 0.5000 0.6690 1

[12]
# KPtRh, relaxed, DFT GGA-PBEsol
# Total DFT energy (no corrections) ... -14.9 eV/cell
# ΔH_f (0 K) ... 0.4440 eV/atom
data_KPtRh
_space_group_name_H-M_alt 'P 1'
_space_group_IT_number 1
_cell_length_a 7.4163
_cell_length_b 7.4163
_cell_length_c 7.4163
_cell_angle_alpha 158.37
_cell_angle_beta 158.37
_cell_angle_gamma 30.78
loop_
_space_group_symop_operation_xyz
'x,y,z'
loop_
_atom_site_label
_atom_site_type_symbol
_atom_site_fract_x
_atom_site_fract_y
_atom_site_fract_z
_atom_site_occupancy
K1 K 0.0000 0.0000 0.0000 1
Pt1 Pt 0.6876 0.6876 0.0000 1
Rh1 Rh 0.3111 0.3111 0.0000 1

[13]
# KPt2Rh, relaxed, DFT GGA-PBEsol
# Total DFT energy (no corrections) ... -22.4 eV/cell
# ΔH_f (0 K) ... 0.1981 eV/atom
data_KPt2Rh
_space_group_name_H-M_alt 'P 1'
_space_group_IT_number 1
_cell_length_a 2.7746
_cell_length_b 2.7746
_cell_length_c 8.9840
_cell_angle_alpha 90.00
_cell_angle_beta 90.00
_cell_angle_gamma 90.00
loop_
_space_group_symop_operation_xyz
'x,y,z'
loop_
_atom_site_label
_atom_site_type_symbol
_atom_site_fract_x
_atom_site_fract_y
_atom_site_fract_z
_atom_site_occupancy
K1 K 0.0000 0.0000 0.0000 1
Pt1 Pt 0.5000 0.5000 0.2967 1
Pt2 Pt 0.5000 0.5000 0.7033 1
Rh1 Rh 0.0000 0.0000 0.5000 1

[14]
# K2PtRh, relaxed, DFT GGA-PBEsol
# Total DFT energy (no corrections) ... -16.3 eV/cell
# Excess energy over the best structure of this formula in the dataset ... 0 meV/atom
# ΔH_f (0 K) ... 0.2552 eV/atom
data_K2PtRh
_space_group_name_H-M_alt 'P 1'
_space_group_IT_number 1
_cell_length_a 2.8644
_cell_length_b 4.1162
_cell_length_c 9.6121
_cell_angle_alpha 90.00
_cell_angle_beta 90.00
_cell_angle_gamma 90.00
loop_
_space_group_symop_operation_xyz
'x,y,z'
loop_
_atom_site_label
_atom_site_type_symbol
_atom_site_fract_x
_atom_site_fract_y
_atom_site_fract_z
_atom_site_occupancy
K1 K 0.0000 0.0000 0.0000 1
K2 K 0.5000 0.5000 0.4447 1
Pt1 Pt 0.0000 0.0000 0.6872 1
Rh1 Rh 0.5000 0.5000 0.7529 1

[15]
# K2PtRh, relaxed, DFT GGA-PBEsol
# Total DFT energy (no corrections) ... -16.1 eV/cell
# Excess energy over the best structure of this formula in the dataset ... 74 meV/atom
# ΔH_f (0 K) ... 0.3292 eV/atom
data_K2PtRh
_space_group_name_H-M_alt 'P 1'
_space_group_IT_number 1
_cell_length_a 4.6280
_cell_length_b 4.6280
_cell_length_c 9.3387
_cell_angle_alpha 93.50
_cell_angle_beta 93.50
_cell_angle_gamma 36.17
loop_
_space_group_symop_operation_xyz
'x,y,z'
loop_
_atom_site_label
_atom_site_type_symbol
_atom_site_fract_x
_atom_site_fract_y
_atom_site_fract_z
_atom_site_occupancy
K1 K 0.0000 0.0000 0.0000 1
K2 K 0.2208 0.2208 0.5479 1
Pt1 Pt 0.4791 0.4791 0.3055 1
Rh1 Rh 0.7454 0.7454 0.2445 1

no.,size of the total moment (Bohr magnetons per cell)
1,0.00
2,0.00
3,0.00
4,0.00
5,0.00
6,0.00
7,0.00
8,0.00
9,1.67
10,0.48
11,0.00
12,0.00
13,0.00
14,0.00
15,0.00